First-principles (GGA-PBE) data for a relaxed structure of LuZr2Ge, as listed in the Open Quantum Materials Database.

POSCAR file:
```
LuZr2Ge
1.0
0.305 1.450 4.706
-3.899 -0.476 2.985
0.058 -3.355 3.617
Lu Ge Zr
1 1 2
direct
0.250 0.250 0.250
0.500 0.500 0.500
0.750 0.750 0.750
0.000 0.000 0.000
```

Properties
Its theoretical density is 8.41 g/cm3. As for the space-group type: F-43m (216). Its final energy is -6.666 eV/atom.



First-principles (GGA-PBE) data for a relaxed structure of LuZrGe, as listed in the Open Quantum Materials Database.

POSCAR file:
```
LuZrGe
1.0
0.000 3.290 3.290
3.290 0.000 3.290
3.290 3.290 0.000
Lu Zr Ge
1 1 1
direct
0.250 0.250 0.250
0.750 0.750 0.750
0.000 0.000 0.000
```

Properties
Its theoretical density is 7.90 g/cm3. As for the space-group type: F-43m (216). Its final energy is -6.269 eV/atom.



First-principles (GGA-PBE) data for a relaxed structure of LuZrGe2, as listed in the Open Quantum Materials Database.

POSCAR file:
```
LuZrGe2
1.0
0.000 3.458 3.458
3.458 0.000 3.458
3.458 3.458 0.000
Lu Ge Zr
1 2 1
direct
0.500 0.500 0.500
0.750 0.750 0.750
0.000 0.000 0.000
0.250 0.250 0.250
```

Properties
Its theoretical density is 8.26 g/cm3. As for the space-group type: F-43m (216). Its final energy is -5.502 eV/atom.



- Which value of final energy does entry 1 give?
  -6.666 eV/atom



- Which of these has the lowest final energy?
  LuZr2Ge



Copy entry 1 word for word.
First-principles (GGA-PBE) data for a relaxed structure of LuZr2Ge, as listed in the Open Quantum Materials Database.

POSCAR file:
```
LuZr2Ge
1.0
0.305 1.450 4.706
-3.899 -0.476 2.985
0.058 -3.355 3.617
Lu Ge Zr
1 1 2
direct
0.250 0.250 0.250
0.500 0.500 0.500
0.750 0.750 0.750
0.000 0.000 0.000
```

Properties
Its theoretical density is 8.41 g/cm3. As for the space-group type: F-43m (216). Its final energy is -6.666 eV/atom.